Here is a relaxed structure of ThMgPd6 from Alexandria via LeMat-Bulk. Energies are from PBE.

The structure in POSCAR format:
```
ThMgPd6
1.0
4.183 0.000 0.000
0.000 4.183 0.000
0.000 0.000 7.869
Th Mg Pd
1 1 6
Cartesian
0.000 0.000 0.000
0.000 0.000 3.935
0.000 2.091 2.067
0.000 2.091 5.802
2.091 0.000 2.067
2.091 0.000 5.802
2.091 2.091 0.000
2.091 2.091 3.935
```

Summary:
DOS(E_F) in states/eV/cell: 3.92
Symmetry: P4/mmm
Crystal system: tetragonal
Total DFT energy (no corrections) in eV for the cell shown: -46.1
Energy relative to the elements in eV/atom: -0.746
Total magnetization in μB/cell: 0.00